Record 1
Entry from the Alexandria database: crystalline NaHo4ScS8 at its relaxed geometry (PBE-GGA).

Cell and atoms, written as CIF:
```
data_NaHo4ScS8
_symmetry_space_group_name_H-M 'P 1'
_symmetry_Int_Tables_number 1
_cell_length_a 7.931
_cell_length_b 7.931
_cell_length_c 7.931
_cell_angle_alpha 60.92
_cell_angle_beta 60.92
_cell_angle_gamma 60.92
loop_
_symmetry_equiv_pos_as_xyz
'x,y,z'
loop_
_atom_site_label
_atom_site_type_symbol
_atom_site_fract_x
_atom_site_fract_y
_atom_site_fract_z
Na1 Na 0.000 0.000 0.000
Ho1 Ho 0.110 0.627 0.627
Ho2 Ho 0.245 0.245 0.245
Ho3 Ho 0.627 0.110 0.627
Ho4 Ho 0.627 0.627 0.110
Sc1 Sc 0.629 0.629 0.629
S1 S 0.380 0.380 0.380
S2 S 0.385 0.385 0.845
S3 S 0.385 0.845 0.385
S4 S 0.409 0.853 0.853
S5 S 0.845 0.385 0.385
S6 S 0.853 0.409 0.853
S7 S 0.853 0.853 0.409
S8 S 0.862 0.862 0.862
```

Computed properties:
Its raw total energy is -6.14 eV/atom. The formation energy without anion corrections is -26.94 eV/f.u. Its density of states at the Fermi level is 0.00 states/eV/cell.

***

Record 2
Entry from the Alexandria database: crystalline NaHoSiS4 at its relaxed geometry (PBE-GGA).

Cell and atoms, written as CIF:
```
data_NaHoSiS4
_symmetry_space_group_name_H-M 'P 1'
_symmetry_Int_Tables_number 1
_cell_length_a 6.374
_cell_length_b 6.582
_cell_length_c 7.952
_cell_angle_alpha 90.00
_cell_angle_beta 105.81
_cell_angle_gamma 90.00
loop_
_symmetry_equiv_pos_as_xyz
'x,y,z'
loop_
_atom_site_label
_atom_site_type_symbol
_atom_site_fract_x
_atom_site_fract_y
_atom_site_fract_z
Na1 Na 0.247 0.250 0.437
Na2 Na 0.753 0.750 0.563
Ho1 Ho 0.277 0.250 0.946
Ho2 Ho 0.723 0.750 0.054
Si1 Si 0.262 0.750 0.183
Si2 Si 0.738 0.250 0.817
S1 S 0.059 0.750 0.351
S2 S 0.077 0.750 0.917
S3 S 0.488 0.501 0.228
S4 S 0.488 0.999 0.228
S5 S 0.512 0.001 0.772
S6 S 0.512 0.499 0.772
S7 S 0.923 0.250 0.083
S8 S 0.941 0.250 0.649
```

Computed properties:
Its raw total energy is -5.31 eV/atom. The formation energy without anion corrections is -9.32 eV/f.u. Its density of states at the Fermi level is 0.00 states/eV/cell.

***

Record 3
Entry from the Alexandria database: crystalline Na4SmHo3S8 at its relaxed geometry (PBE-GGA).

Cell and atoms, written as CIF:
```
data_Na4SmHo3S8
_symmetry_space_group_name_H-M 'P 1'
_symmetry_Int_Tables_number 1
_cell_length_a 8.122
_cell_length_b 8.122
_cell_length_c 8.122
_cell_angle_alpha 58.91
_cell_angle_beta 58.91
_cell_angle_gamma 58.91
loop_
_symmetry_equiv_pos_as_xyz
'x,y,z'
loop_
_atom_site_label
_atom_site_type_symbol
_atom_site_fract_x
_atom_site_fract_y
_atom_site_fract_z
Na1 Na 0.000 0.000 0.000
Na2 Na 0.000 0.500 0.500
Na3 Na 0.500 0.000 0.500
Na4 Na 0.500 0.500 0.000
Sm1 Sm 0.500 0.500 0.500
Ho1 Ho 0.000 0.000 0.500
Ho2 Ho 0.000 0.500 0.000
Ho3 Ho 0.500 0.000 0.000
S1 S 0.237 0.745 0.745
S2 S 0.242 0.242 0.242
S3 S 0.255 0.255 0.763
S4 S 0.255 0.763 0.255
S5 S 0.745 0.237 0.745
S6 S 0.745 0.745 0.237
S7 S 0.758 0.758 0.758
S8 S 0.763 0.255 0.255
```

Computed properties:
Its raw total energy is -5.39 eV/atom. The formation energy without anion corrections is -29.46 eV/f.u. Its density of states at the Fermi level is 0.00 states/eV/cell.

***

Record 4
Entry from the Alexandria database: crystalline Na2SmHoS4 at its relaxed geometry (PBE-GGA).

Cell and atoms, written as CIF:
```
data_Na2SmHoS4
_symmetry_space_group_name_H-M 'P 1'
_symmetry_Int_Tables_number 1
_cell_length_a 6.968
_cell_length_b 4.022
_cell_length_c 7.079
_cell_angle_alpha 90.00
_cell_angle_beta 109.13
_cell_angle_gamma 90.00
loop_
_symmetry_equiv_pos_as_xyz
'x,y,z'
loop_
_atom_site_label
_atom_site_type_symbol
_atom_site_fract_x
_atom_site_fract_y
_atom_site_fract_z
Na1 Na 0.000 0.000 0.000
Na2 Na 0.500 0.500 0.000
Sm1 Sm 0.000 0.500 0.500
Ho1 Ho 0.500 0.000 0.500
S1 S 0.249 0.000 0.730
S2 S 0.263 0.500 0.273
S3 S 0.737 0.500 0.727
S4 S 0.751 0.000 0.270
```

Computed properties:
Its raw total energy is -5.39 eV/atom. The formation energy without anion corrections is -14.65 eV/f.u. Its density of states at the Fermi level is 0.00 states/eV/cell.

***

Record 5
Entry from the Alexandria database: crystalline Na4Sm3HoS8 at its relaxed geometry (PBE-GGA).

Cell and atoms, written as CIF:
```
data_Na4Sm3HoS8
_symmetry_space_group_name_H-M 'P 1'
_symmetry_Int_Tables_number 1
_cell_length_a 8.161
_cell_length_b 8.161
_cell_length_c 8.161
_cell_angle_alpha 59.51
_cell_angle_beta 59.51
_cell_angle_gamma 59.51
loop_
_symmetry_equiv_pos_as_xyz
'x,y,z'
loop_
_atom_site_label
_atom_site_type_symbol
_atom_site_fract_x
_atom_site_fract_y
_atom_site_fract_z
Na1 Na 0.000 0.000 0.000
Na2 Na 0.000 0.500 0.500
Na3 Na 0.500 0.000 0.500
Na4 Na 0.500 0.500 0.000
Sm1 Sm 0.000 0.000 0.500
Sm2 Sm 0.000 0.500 0.000
Sm3 Sm 0.500 0.000 0.000
Ho1 Ho 0.500 0.500 0.500
S1 S 0.244 0.244 0.244
S2 S 0.249 0.740 0.740
S3 S 0.260 0.260 0.751
S4 S 0.260 0.751 0.260
S5 S 0.740 0.249 0.740
S6 S 0.740 0.740 0.249
S7 S 0.751 0.260 0.260
S8 S 0.756 0.756 0.756
```

Computed properties:
Its raw total energy is -5.39 eV/atom. The formation energy without anion corrections is -29.17 eV/f.u. Its density of states at the Fermi level is 0.00 states/eV/cell.

***

Record 6
Entry from the Alexandria database: crystalline NaSm2HoS4 at its relaxed geometry (PBE-GGA).

Cell and atoms, written as CIF:
```
data_NaSm2HoS4
_symmetry_space_group_name_H-M 'P 1'
_symmetry_Int_Tables_number 1
_cell_length_a 6.898
_cell_length_b 3.965
_cell_length_c 6.900
_cell_angle_alpha 90.00
_cell_angle_beta 109.16
_cell_angle_gamma 90.00
loop_
_symmetry_equiv_pos_as_xyz
'x,y,z'
loop_
_atom_site_label
_atom_site_type_symbol
_atom_site_fract_x
_atom_site_fract_y
_atom_site_fract_z
Na1 Na 0.000 0.000 0.000
Sm1 Sm 0.000 0.500 0.500
Sm2 Sm 0.500 0.000 0.500
Ho1 Ho 0.500 0.500 0.000
S1 S 0.255 0.500 0.247
S2 S 0.256 0.000 0.759
S3 S 0.744 0.000 0.241
S4 S 0.745 0.500 0.753
```

Computed properties:
Its raw total energy is -5.89 eV/atom. The formation energy without anion corrections is -15.30 eV/f.u. Its density of states at the Fermi level is 2.59 states/eV/cell.